Entry 1:
# La2NdTh

Crystalline La2NdTh at its relaxed geometry (GGA-PBE, Alexandria via LeMat-Bulk).

Crystal system = tetragonal
E = -21.8 eV per formula unit
Polymorph energy (0 for the lowest one) = 43 meV/atom
Magnetic moment = 0.00 μB per atom
Calculated volume = 139 Å³/cell

Lattice parameters (Å, degrees): 5.173 5.173 5.179 90.00 90.00 90.00
Space group P4/mmm (No. 123)
Unique sites:
La  0.000  0.500  0.000 x2
Nd  0.000  0.000  0.500 x1
Th  0.500  0.500  0.500 x1


Entry 2:
# MgTl2Hg

Crystalline MgTl2Hg at its relaxed geometry (GGA-PBE, Alexandria via LeMat-Bulk).

Crystal system = orthorhombic
E = -6.6 eV per formula unit
Magnetic moment = 0.00 μB per atom
Calculated volume = 220 Å³/cell

Lattice parameters (Å, degrees): 4.088 5.369 10.042 90.00 90.00 90.00
Space group Cmmm (No. 65)
Unique sites:
Mg  0.000  0.000  0.000 x2
Tl  0.000  0.500  0.241 x4
Hg  0.000  0.000  0.500 x2


Entry 3:
# Tb4Y5In

Crystalline Tb4Y5In at its relaxed geometry (GGA-PBE, Alexandria via LeMat-Bulk).

Crystal system = tetragonal
E = -52.4 eV per formula unit
Polymorph energy (0 for the lowest one) = 200 meV/atom
Magnetic moment = 0.00 μB per atom
Calculated volume = 658 Å³/cell

Lattice parameters (Å, degrees): 10.633 10.633 5.824 90.00 90.00 90.00
Space group I4mm (No. 107)
Unique sites:
Tb  0.000  0.317  0.000 x8
Y  0.000  0.000  0.205 x2
Y  0.185  0.185  0.501 x8
In  0.000  0.000  0.724 x2


Entry 4:
# TbPu2RuN4

Crystalline TbPu2RuN4 at its relaxed geometry (GGA-PBE, Alexandria via LeMat-Bulk).

Crystal system = orthorhombic
E = -83.3 eV per formula unit
Magnetic moment = 1.01 μB per atom
Calculated volume = 447 Å³/cell

Lattice parameters (Å, degrees): 3.344 11.585 11.551 90.00 90.00 90.00
Space group Cmcm (No. 63)
Unique sites:
Tb  0.000  0.116  0.250 x4
Pu  0.000  0.369  0.051 x8
Ru  0.000  0.145  0.750 x4
N  0.000  0.000  0.000 x4
N  0.000  0.271  0.622 x8
N  0.000  0.463  0.250 x4


Entry 5:
# CsDyIn2Cl6

Crystalline CsDyIn2Cl6 at its relaxed geometry (GGA-PBE, Alexandria via LeMat-Bulk).

Crystal system = triclinic
E = -38.6 eV per formula unit
Magnetic moment = 0.00 μB per atom
Calculated volume = 375 Å³/cell

Lattice parameters (Å, degrees): 7.934 7.962 8.236 90.07 118.78 119.88
Space group P1 (No. 1)
Unique sites:
Cs  0.000  0.000  0.000 x1
Dy  0.971  0.486  0.456 x1
In  0.571  0.286  0.855 x1
In  0.591  0.796  0.386 x1
Cl  0.075  0.425  0.204 x1
Cl  0.083  0.260  0.659 x1
Cl  0.399  0.823  0.657 x1
Cl  0.555  0.131  0.203 x1
Cl  0.779  0.648  0.202 x1
Cl  0.835  0.577  0.657 x1


Entry 6:
# Ba2ZnInPd

Crystalline Ba2ZnInPd at its relaxed geometry (GGA-PBE, Alexandria via LeMat-Bulk).

Crystal system = tetragonal
E = -14.5 eV per formula unit
Polymorph energy (0 for the lowest one) = 0 meV/atom
Magnetic moment = 0.00 μB per atom
Calculated volume = 184 Å³/cell

Lattice parameters (Å, degrees): 6.135 6.135 4.883 90.00 90.00 90.00
Space group P4/mmm (No. 123)
Unique sites:
Ba  0.000  0.500  0.000 x2
Zn  0.000  0.000  0.500 x1
In  0.500  0.500  0.500 x1
Pd  0.000  0.000  0.000 x1


Entry 7:
# PaAsPbO6

Crystalline PaAsPbO6 at its relaxed geometry (GGA-PBE, Alexandria via LeMat-Bulk).

Crystal system = orthorhombic
E = -66.5 eV per formula unit
Magnetic moment = 0.00 μB per atom
Calculated volume = 506 Å³/cell

Lattice parameters (Å, degrees): 7.061 7.477 9.577 90.00 90.00 90.00
Space group Imma (No. 74)
Unique sites:
Pa  0.000  0.000  0.000 x4
As  0.250  0.250  0.250 x4
Pb  0.000  0.250  0.554 x4
O  0.000  0.250  0.184 x4
O  0.000  0.250  0.893 x4
O  0.217  0.078  0.386 x16


Entry 8:
# SrZn2Si

Crystalline SrZn2Si at its relaxed geometry (GGA-PBE, Alexandria via LeMat-Bulk).

Crystal system = orthorhombic
E = -10.2 eV per formula unit
Magnetic moment = 0.00 μB per atom
Calculated volume = 99 Å³/cell

Lattice parameters (Å, degrees): 4.238 4.686 4.998 90.00 90.00 90.00
Space group Pmmm (No. 47)
Unique sites:
Sr  0.000  0.000  0.000 x1
Zn  0.500  0.500  0.246 x2
Si  0.000  0.500  0.500 x1


| no. | N(E_F) (states/eV per cell) |
| --- | --- |
| 1 | 5.99 |
| 2 | 2.15 |
| 3 | 29.02 |
| 4 | 46.46 |
| 5 | 0.00 |
| 6 | 4.57 |
| 7 | 0.00 |
| 8 | 1.49 |